Entry 1:
The following is a DFT calculation (GGA-PBE) of crystalline TlZnW2 at its relaxed geometry.

Computed properties:
The calculation puts the formation energy from the elements at 750 meV/atom. The value obtained for the volume is 17.70 A^3/atom. For the total magnetization, the calculation gives 0.00 μB/cell.

```
TlZnW2
1.0
5.2868 -0.0117 -0.0060
2.1258 4.8406 0.0060
-3.2311 -3.1439 2.7616
W Zn Tl
2 1 1
direct
0.9783 0.9783 0.0000
0.7624 0.2624 0.5000
0.5086 0.5086 0.0000
0.2508 0.7508 0.5000
```

---

Entry 2:
The following is a DFT calculation (GGA-PBE) of crystalline Tl2ZnW at its relaxed geometry.

Computed properties:
The calculation puts the formation energy from the elements at 774 meV/atom. The value obtained for the volume is 20.39 A^3/atom. For the total magnetization, the calculation gives 0.01 μB/cell.

```
Tl2ZnW
1.0
-4.9726 -1.8269 -8.0021
-2.3658 -3.5075 -8.6139
-4.6898 -4.7694 -6.8816
Tl W Zn
2 1 1
direct
0.4988 0.4988 0.4988
0.0012 0.0012 0.0012
0.2500 0.2500 0.2500
0.7500 0.7500 0.7500
```

---

Entry 3:
The following is a DFT calculation (GGA-PBE) of crystalline TlZnW2 at its relaxed geometry.

Computed properties:
The calculation puts the formation energy from the elements at 830 meV/atom. The value obtained for the volume is 17.70 A^3/atom. For the total magnetization, the calculation gives 0.00 μB/cell.

```
TlZnW2
1.0
2.8085 0.0000 0.0000
0.0000 4.3247 0.0000
0.0000 0.0000 5.8282
Zn W Tl
1 2 1
direct
0.5000 0.5000 0.2500
0.0000 0.0000 0.0351
0.0000 0.0000 0.4649
0.5000 0.5000 0.7500
```